(1)
5
Lattice="4.599 0.000 0.000 0.000 4.599 0.000 0.000 0.000 4.599" Properties=species:S:1:pos:R:3 comment="Li3ZnCo, relaxed, DFT PBE-GGA" e_tot_ev_per_atom=-2.120 ef_ev_per_atom=0.704 space_group="Pm-3m, No. 221" pbc="T T T"
Li 0.000 0.000 2.299
Li 0.000 2.299 0.000
Li 2.299 0.000 0.000
Zn 0.000 0.000 0.000
Co 2.299 2.299 2.299

=====

(2)
4
Lattice="-1.672 1.672 4.817 1.672 -1.672 4.817 1.672 1.672 -4.817" Properties=species:S:1:pos:R:3 comment="Be2FeBr, relaxed, DFT PBE-GGA" e_tot_ev_per_atom=-3.581 space_group="I-4m2, No. 119" pbc="T T T"
Be 0.000 0.000 0.000
Be 0.000 1.672 2.408
Fe 0.000 0.000 4.817
Br 1.672 0.000 2.408

=====

(3)
12
Lattice="3.720 -6.443 0.000 3.720 6.443 0.000 -2.476 0.000 7.623" Properties=species:S:1:pos:R:3 comment="Pr6Te3Rh2Au, relaxed, DFT PBE-GGA" e_tot_ev_per_atom=-5.706 space_group="C2/m, No. 12" pbc="T T T"
Pr -0.067 2.272 5.966
Pr 1.099 0.000 1.620
Pr -0.067 -2.272 5.966
Pr 5.031 2.272 1.657
Pr 3.864 0.000 6.003
Pr 5.031 -2.272 1.657
Te -1.238 0.000 3.811
Te 2.482 2.073 3.811
Te 2.482 -2.073 3.811
Rh 3.720 4.283 0.000
Rh 3.720 -4.283 0.000
Au 3.720 0.000 0.000

=====

(4)
5
Lattice="5.101 0.000 0.000 0.000 5.101 0.000 0.000 0.000 5.564" Properties=species:S:1:pos:R:3 comment="ScFeHgSe2, relaxed, DFT PBE-GGA" e_tot_ev_per_atom=-4.173 space_group="P4/mmm, No. 123" pbc="T T T"
Sc 0.000 0.000 0.000
Fe 2.550 2.550 2.782
Hg 0.000 0.000 2.782
Se 0.000 2.550 0.000
Se 2.550 0.000 0.000

=====

(5)
11
Lattice="3.259 -5.633 0.000 3.259 5.633 0.000 -2.220 0.000 6.106" Properties=species:S:1:pos:R:3 comment="La6N5, relaxed, DFT PBE-GGA" e_tot_ev_per_atom=-7.704 space_group="C2/m, No. 12" pbc="T T T"
La -0.083 1.977 4.555
La 0.931 0.000 1.607
La -0.083 -1.977 4.555
La 4.380 1.977 1.551
La 3.367 0.000 4.499
La 4.380 -1.977 1.551
N -1.110 0.000 3.053
N 3.259 3.786 0.000
N 2.149 1.982 3.053
N 2.149 -1.982 3.053
N 3.259 -3.786 0.000

=====

(6)
14
Lattice="8.128 0.000 0.000 0.000 8.128 0.000 0.000 0.000 4.222" Properties=species:S:1:pos:R:3 comment="CaSb2Pd4, relaxed, DFT PBE-GGA" e_tot_ev_per_atom=-5.063 space_group="P4_2/mnm, No. 136" pbc="T T T"
Ca 0.000 0.000 0.000
Ca 4.064 4.064 2.111
Sb 1.796 1.796 2.111
Sb 2.268 5.861 0.000
Sb 5.861 2.268 0.000
Sb 6.332 6.332 2.111
Pd 0.705 5.339 2.111
Pd 1.275 3.359 0.000
Pd 2.789 7.423 2.111
Pd 3.359 1.275 0.000
Pd 4.769 6.853 0.000
Pd 5.339 0.705 2.111
Pd 6.853 4.769 0.000
Pd 7.423 2.789 2.111

=====

(7)
5
Lattice="5.879 0.000 0.000 0.000 5.879 0.000 0.000 0.000 5.296" Properties=species:S:1:pos:R:3 comment="AgSbHI2, relaxed, DFT PBE-GGA" e_tot_ev_per_atom=-1.934 space_group="P4/mmm, No. 123" pbc="T T T"
Ag 0.000 0.000 0.000
Sb 0.000 0.000 2.648
H 2.939 2.939 2.648
I 0.000 2.939 0.000
I 2.939 0.000 0.000

=====

(8)
4
Lattice="2.715 0.000 0.000 0.000 2.715 0.000 0.000 0.000 7.432" Properties=species:S:1:pos:R:3 comment="CoIr3, relaxed, DFT PBE-GGA" e_tot_ev_per_atom=-8.395 ef_ev_per_atom=0.027 space_group="P4/mmm, No. 123" pbc="T T T"
Co 0.000 0.000 0.000
Ir 0.000 0.000 3.716
Ir 1.358 1.358 1.780
Ir 1.358 1.358 5.652

=====

(9)
4
Lattice="3.585 0.000 0.000 0.000 3.585 0.000 0.000 0.000 10.501" Properties=species:S:1:pos:R:3 comment="PrNdTh2, relaxed, DFT PBE-GGA" e_tot_ev_per_atom=-5.999 ef_ev_per_atom=0.097 space_group="P4/mmm, No. 123" pbc="T T T"
Pr 0.000 0.000 0.000
Nd 0.000 0.000 5.250
Th 1.792 1.792 2.638
Th 1.792 1.792 7.863

=====

(10)
12
Lattice="5.196 0.000 0.000 0.000 8.306 0.000 -1.948 0.000 6.203" Properties=species:S:1:pos:R:3 comment="CuNiSn4, relaxed, DFT PBE-GGA" e_tot_ev_per_atom=-4.308 ef_ev_per_atom=0.007 space_group="P2_1/m, No. 11" pbc="T T T"
Cu 0.376 2.076 0.514
Cu 2.872 6.229 5.689
Ni -0.777 6.229 3.718
Ni 4.026 2.076 2.485
Sn -1.419 0.369 4.579
Sn -1.419 3.784 4.579
Sn 2.254 6.229 0.009
Sn 1.433 2.076 3.107
Sn 1.816 6.229 3.096
Sn 0.995 2.076 6.194
Sn 4.668 4.521 1.624
Sn 4.668 7.937 1.624

=====

(11)
18
Lattice="2.297 -10.855 0.000 2.297 10.855 0.000 0.000 0.000 15.084" Properties=species:S:1:pos:R:3 comment="Rb2LiMgI5, relaxed, DFT PBE-GGA" e_tot_ev_per_atom=-2.733 space_group="Cmc2_1, No. 36" pbc="T T T"
Rb 2.297 8.365 7.542
Rb 2.297 8.098 1.848
Rb 2.297 -8.098 9.390
Rb 2.297 -8.365 0.000
Li 2.297 1.592 3.793
Li 2.297 -1.592 11.335
Mg 2.297 6.321 12.601
Mg 2.297 -6.321 5.059
I 2.297 9.222 12.881
I 2.297 4.683 7.046
I 2.297 4.294 2.988
I 2.297 3.467 12.301
I 2.297 0.095 1.540
I 2.297 -0.095 9.082
I 2.297 -3.467 4.759
I 2.297 -4.294 10.530
I 2.297 -4.683 14.589
I 2.297 -9.222 5.338

=====

(12)
8
Lattice="-3.901 3.901 2.319 3.901 -3.901 2.319 3.901 3.901 -2.319" Properties=species:S:1:pos:R:3 comment="Al2GaNi, relaxed, DFT PBE-GGA" e_tot_ev_per_atom=-4.081 ef_ev_per_atom=-0.008 space_group="I-42d, No. 122" pbc="T T T"
Al 5.851 1.238 -0.580
Al 1.238 1.950 0.580
Al -1.950 2.663 1.739
Al 2.663 1.950 2.898
Ga 3.901 0.000 1.159
Ga 0.000 0.000 2.319
Ni 0.000 0.000 0.000
Ni 0.000 3.901 1.159

=====

(13)
4
Lattice="0.000 3.965 3.965 3.965 0.000 3.965 3.965 3.965 0.000" Properties=species:S:1:pos:R:3 comment="SmEuLuMg, relaxed, DFT PBE-GGA" e_tot_ev_per_atom=-5.223 ef_ev_per_atom=0.054 space_group="F-43m, No. 216" pbc="T T T"
Sm 0.000 0.000 0.000
Eu 3.965 3.965 3.965
Lu 5.947 5.947 5.947
Mg 1.982 1.982 1.982

=====

(14)
6
Lattice="2.830 0.000 0.000 0.000 2.830 0.000 0.000 0.000 12.434" Properties=species:S:1:pos:R:3 comment="TaAl5, relaxed, DFT PBE-GGA" e_tot_ev_per_atom=-5.146 ef_ev_per_atom=-0.052 space_group="P4/mmm, No. 123" pbc="T T T"
Ta 0.000 0.000 0.000
Al 0.000 0.000 4.129
Al 0.000 0.000 8.306
Al 1.415 1.415 2.062
Al 1.415 1.415 6.217
Al 1.415 1.415 10.373

=====

(15)
8
Lattice="2.936 -6.549 0.000 2.936 6.549 0.000 0.000 0.000 8.193" Properties=species:S:1:pos:R:3 comment="CsBiPb2, relaxed, DFT PBE-GGA" e_tot_ev_per_atom=-3.149 ef_ev_per_atom=-0.111 space_group="Cmcm, No. 63" pbc="T T T"
Cs 2.936 5.405 6.145
Cs 2.936 -5.405 2.048
Bi 2.936 3.905 2.048
Bi 2.936 -3.905 6.145
Pb 2.936 1.636 4.541
Pb 2.936 1.636 7.749
Pb 2.936 -1.636 0.444
Pb 2.936 -1.636 3.652

=====

(16)
4
Lattice="3.681 0.000 0.000 -1.841 3.188 0.000 0.000 0.000 7.042" Properties=species:S:1:pos:R:3 comment="FeSe, relaxed, DFT PBE-GGA" e_tot_ev_per_atom=-6.175 space_group="P-3m1, No. 164" pbc="T T T"
Fe 0.000 2.125 0.655
Fe 1.841 1.063 6.388
Se 0.000 2.125 5.252
Se 1.841 1.063 1.791

=====

(17)
5
Lattice="4.754 0.000 0.000 0.000 4.754 0.000 0.000 0.000 4.754" Properties=species:S:1:pos:R:3 comment="Zn3MoPt, relaxed, DFT PBE-GGA" e_tot_ev_per_atom=-3.432 ef_ev_per_atom=0.707 space_group="Pm-3m, No. 221" pbc="T T T"
Zn 0.000 0.000 2.377
Zn 0.000 2.377 0.000
Zn 2.377 0.000 0.000
Mo 2.377 2.377 2.377
Pt 0.000 0.000 0.000

=====

(18)
3
Lattice="4.508 0.000 0.000 -2.254 3.904 0.000 0.000 0.000 3.868" Properties=species:S:1:pos:R:3 comment="NdMgIr, relaxed, DFT PBE-GGA" e_tot_ev_per_atom=-5.430 ef_ev_per_atom=-0.356 space_group="P3m1, No. 156" pbc="T T T"
Nd 0.000 0.000 0.000
Mg 0.000 2.603 1.932
Ir 2.254 1.301 1.938

=====

(19)
4
Lattice="4.681 0.000 0.000 0.000 4.681 0.000 0.000 0.000 4.617" Properties=species:S:1:pos:R:3 comment="PuIn2Hg, relaxed, DFT PBE-GGA" e_tot_ev_per_atom=-5.180 ef_ev_per_atom=-0.152 space_group="P4/mmm, No. 123" pbc="T T T"
Pu 0.000 0.000 0.000
In 0.000 2.341 2.309
In 2.341 0.000 2.309
Hg 2.341 2.341 0.000

=====

(20)
8
Lattice="-2.243 2.987 7.485 2.243 -2.987 7.485 2.243 2.987 -7.485" Properties=species:S:1:pos:R:3 comment="Nd3Ge4Pd, relaxed, DFT PBE-GGA" e_tot_ev_per_atom=-5.454 ef_ev_per_atom=-0.708 space_group="Immm, No. 71" pbc="T T T"
Nd 0.000 0.000 0.000
Nd 2.243 0.000 4.612
Nd 0.000 2.987 2.873
Ge 2.243 1.266 -1.822
Ge 2.243 1.266 1.822
Ge 0.000 1.721 5.663
Ge 0.000 1.721 9.307
Pd 0.000 0.000 7.485

=====

(21)
4
Lattice="4.302 -1.432 0.000 4.302 1.432 0.000 -0.992 0.000 4.788" Properties=species:S:1:pos:R:3 comment="MgZnRh2, relaxed, DFT PBE-GGA" e_tot_ev_per_atom=-4.723 ef_ev_per_atom=-0.330 space_group="C2/m, No. 12" pbc="T T T"
Mg 0.000 0.000 0.000
Zn 3.806 0.000 2.394
Rh 1.383 0.000 3.549
Rh 6.229 0.000 1.238

=====

(22)
4
Lattice="0.000 3.914 3.914 3.914 0.000 3.914 3.914 3.914 0.000" Properties=species:S:1:pos:R:3 comment="NdSmLuTl, relaxed, DFT PBE-GGA" e_tot_ev_per_atom=-4.164 ef_ev_per_atom=-0.070 space_group="F-43m, No. 216" pbc="T T T"
Nd 0.000 0.000 0.000
Sm 3.914 3.914 3.914
Lu 5.871 5.871 5.871
Tl 1.957 1.957 1.957

=====

(23)
15
Lattice="3.807 2.198 6.144 -3.807 2.198 6.144 0.000 -4.396 6.144" Properties=species:S:1:pos:R:3 comment="Li3Ho3VS8, relaxed, DFT PBE-GGA" e_tot_ev_per_atom=-5.700 space_group="R-3m, No. 166" pbc="T T T"
Li -1.904 -1.099 6.144
Li -1.904 1.099 12.288
Li 0.000 2.198 6.144
Ho -3.807 0.000 9.216
Ho -1.904 1.099 3.072
Ho 1.904 1.099 3.072
V 0.000 0.000 9.216
S 0.000 0.000 4.632
S 0.000 -1.990 7.783
S -1.723 0.995 7.783
S -1.723 -0.995 10.648
S 1.723 0.995 7.783
S 1.723 -0.995 10.648
S 0.000 1.990 10.648
S 0.000 0.000 13.799

=====

(24)
5
Lattice="4.527 0.000 0.000 0.000 4.527 0.000 0.000 0.000 6.033" Properties=species:S:1:pos:R:3 comment="NaSiIN2, relaxed, DFT PBE-GGA" e_tot_ev_per_atom=-2.999 space_group="P4/mmm, No. 123" pbc="T T T"
Na 0.000 0.000 0.000
Si 2.264 2.264 3.017
I 0.000 0.000 3.017
N 0.000 2.264 0.000
N 2.264 0.000 0.000

=====

(25)
5
Lattice="-2.247 2.247 5.532 2.247 -2.247 5.532 2.247 2.247 -5.532" Properties=species:S:1:pos:R:3 comment="AcScTaIr2, relaxed, DFT PBE-GGA" e_tot_ev_per_atom=-8.697 ef_ev_per_atom=-0.694 space_group="I-4m2, No. 119" pbc="T T T"
Ac 0.000 0.000 0.000
Sc 2.247 0.000 2.766
Ta 0.000 2.247 2.766
Ir 0.000 0.000 4.162
Ir 0.000 0.000 6.902

=====

(26)
11
Lattice="4.089 -5.468 0.000 4.089 5.468 0.000 0.000 0.000 7.729" Properties=species:S:1:pos:R:3 comment="Er7In2Bi2, relaxed, DFT PBE-GGA" e_tot_ev_per_atom=-4.258 ef_ev_per_atom=-0.151 space_group="Cmmm, No. 65" pbc="T T T"
Er 0.000 0.000 0.000
Er 2.044 2.734 2.231
Er 2.044 2.734 5.498
Er 2.044 -2.734 2.231
Er 2.044 -2.734 5.498
Er 4.089 0.000 2.152
Er 4.089 0.000 5.577
In 1.434 0.000 3.865
In 6.744 0.000 3.865
Bi 4.089 2.282 0.000
Bi 4.089 -2.282 0.000